Ti3ZnH: relaxed, GGA-PBE.

Values from the calculation:
offset from the most stable computed form: 772.9 meV/atom
N(E_F): 1.07 states/eV/atom

Lattice parameters (Å, degrees): 3.7910 3.7910 6.6448 90.00 90.00 90.00
Space group P4mm (No. 99)
Symmetry-distinct sites (fractional):
Ti1 0.0000 0.0000 0.0000
Ti2 0.0000 0.5000 0.7054
Zn1 0.0000 0.0000 0.4080
H1 0.5000 0.5000 0.6344

TiZnH: relaxed, GGA-PBE.

Values from the calculation:
offset from the most stable computed form: 33.5 meV/atom
N(E_F): 0.63 states/eV/atom

Lattice parameters (Å, degrees): 3.4834 3.4956 5.7462 86.09 86.25 85.52
Space group P-1 (No. 2)
Symmetry-distinct sites (fractional):
Ti1 0.2359 0.2356 0.1232
Zn1 0.2733 0.2748 0.6158
H1 0.2534 0.7468 0.0008

TiZn2H: relaxed, GGA-PBE.

Values from the calculation:
offset from the most stable computed form: 0.0 meV/atom
N(E_F): 0.46 states/eV/atom

Lattice parameters (Å, degrees): 5.5169 5.5169 7.1543 90.00 90.00 90.00
Space group I-42d (No. 122)
Symmetry-distinct sites (fractional):
Ti1 0.0000 0.0000 0.0000
Zn1 0.1040 0.2500 0.6250
H1 0.0000 0.0000 0.5000

TiZn2H2: relaxed, GGA-PBE.

Values from the calculation:
offset from the most stable computed form: 0.0 meV/atom
N(E_F): 0.55 states/eV/atom

Lattice parameters (Å, degrees): 5.3871 5.3871 3.8856 90.00 90.00 90.00
Space group P4/mbm (No. 127)
Symmetry-distinct sites (fractional):
Ti1 0.0000 0.0000 0.0000
Zn1 0.2208 0.2792 0.5000
H1 0.2051 0.2949 0.0000